1.
Here is a geometry-optimized ScNbFeMo structure from Alexandria. Energies are from PBE.

DOS(E_F) (states/eV/cell): 4.895
E (eV/atom): -8.880

a b c (Å): 4.5084 4.5084 4.5084
angles (deg): 60.00 60.00 60.00
Last column: nearest neighbours and their distance in Å.
Atoms (fractional coordinates):
Sc 0.0000 0.0000 0.0000  4 Fe 2.76, 4 Mo 2.76
Nb 0.5000 0.5000 0.5000  4 Fe 2.76, 4 Mo 2.76
Fe 0.7500 0.7500 0.7500  4 Nb 2.76, 4 Sc 2.76
Mo 0.2500 0.2500 0.2500  4 Nb 2.76, 4 Sc 2.76

2.
Here is a geometry-optimized LuScVZn structure from Alexandria. Energies are from PBE.

DOS(E_F) (states/eV/cell): 3.876
E (eV/atom): -5.306

a b c (Å): 4.8526 4.8526 4.8526
angles (deg): 60.00 60.00 60.00
Last column: nearest neighbours and their distance in Å.
Atoms (fractional coordinates):
Lu 0.0000 0.0000 0.0000  4 Zn 2.97, 4 V 2.97
Sc 0.5000 0.5000 0.5000  4 Zn 2.97, 4 V 2.97
V 0.2500 0.2500 0.2500  4 Sc 2.97, 4 Lu 2.97
Zn 0.7500 0.7500 0.7500  4 Lu 2.97, 4 Sc 2.97

3.
Here is a geometry-optimized TbPm2TmSe5 structure from Alexandria. Energies are from PBE.

DOS(E_F) (states/eV/cell): 6.089
E (eV/atom): -5.271
E_form (uncorrected) (eV per formula unit): -11.4

a b c (Å): 5.0821 5.0821 10.7306
angles (deg): 90.00 90.00 90.00
Last column: nearest neighbours and their distance in Å.
Atoms (fractional coordinates):
Tb 0.0000 0.0000 0.0000  2 Se 2.66
Pm 0.5000 0.5000 0.3235  5 Se 3.17-3.47
Pm 0.5000 0.5000 0.6765  5 Se 3.17-3.47
Tm 0.0000 0.0000 0.5000  6 Se 2.54-2.71
Se 0.0000 0.0000 0.2477  1 Tb 2.66, 1 Tm 2.71
Se 0.0000 0.0000 0.7523  1 Tb 2.66, 1 Tm 2.71
Se 0.0000 0.5000 0.5000  2 Tm 2.54
Se 0.5000 0.0000 0.5000  2 Tm 2.54
Se 0.5000 0.5000 0.0000  2 Pm 3.47, 4 Tb 3.59

4.
Here is a geometry-optimized Pr6Ga3Rh structure from Alexandria. Energies are from PBE.

DOS(E_F) (states/eV/cell): 16.267
E (eV/atom): -4.922

a b c (Å): 5.2608 9.0103 12.9670
angles (deg): 90.00 113.90 90.00
Last column: nearest neighbours and their distance in Å.
Atoms (fractional coordinates):
Pr 0.0751 0.1777 0.0757  1 Rh 3.04, 2 Ga 3.21
Pr 0.0751 0.3223 0.5757  1 Rh 3.04, 2 Ga 3.21
Pr 0.2480 0.5034 0.2474  1 Rh 2.93, 4 Ga 3.00-3.03
Pr 0.2480 0.9966 0.7474  1 Rh 2.93, 4 Ga 3.00-3.03
Pr 0.4146 0.1601 0.4152  2 Rh 3.16-3.17, 1 Ga 3.22, 1 Pr 3.52
Pr 0.4146 0.3399 0.9152  2 Rh 3.16-3.17, 1 Ga 3.22, 1 Pr 3.52
Pr 0.5854 0.6601 0.0848  2 Rh 3.16-3.17, 1 Ga 3.22, 1 Pr 3.52
Pr 0.5854 0.8399 0.5848  2 Rh 3.16-3.17, 1 Ga 3.22, 1 Pr 3.52
Pr 0.7520 0.0034 0.2526  1 Rh 2.93, 4 Ga 3.00-3.03
Pr 0.7520 0.4966 0.7526  1 Rh 2.93, 4 Ga 3.00-3.03
Pr 0.9249 0.6777 0.4243  1 Rh 3.04, 2 Ga 3.21
Pr 0.9249 0.8223 0.9243  1 Rh 3.04, 2 Ga 3.21
Ga 0.2324 0.6609 0.7330  3 Pr 3.03
Ga 0.2324 0.8391 0.2330  3 Pr 3.03
Ga 0.5000 0.0000 0.0000  8 Pr 3.00-3.22
Ga 0.5000 0.5000 0.5000  8 Pr 3.00-3.22
Ga 0.7676 0.1609 0.7670  3 Pr 3.03
Ga 0.7676 0.3391 0.2670  3 Pr 3.03
Rh 0.0000 0.0000 0.5000  8 Pr 2.93-3.17
Rh 0.0000 0.5000 0.0000  8 Pr 2.93-3.17

5.
Here is a geometry-optimized Sr2IrRhO6 structure from Alexandria. Energies are from PBE.

DOS(E_F) (states/eV/cell): 10.473
E (eV/atom): -6.480
E_form (uncorrected) (eV per formula unit): -15.5

a b c (Å): 10.1433 10.1433 10.1433
angles (deg): 32.55 32.55 32.55
Last column: nearest neighbours and their distance in Å.
Atoms (fractional coordinates):
Sr 0.1219 0.1219 0.1219  12 O 2.75-3.07
Sr 0.2812 0.2812 0.2812  9 O 2.64-2.86
Sr 0.7188 0.7188 0.7188  9 O 2.64-2.86
Sr 0.8781 0.8781 0.8781  12 O 2.75-3.07
Ir 0.0000 0.0000 0.0000  6 O 1.97
Ir 0.5000 0.5000 0.5000  6 O 2.04
Rh 0.4106 0.4106 0.4106  6 O 2.01-2.05
Rh 0.5894 0.5894 0.5894  6 O 2.01-2.05
O 0.1334 0.6169 0.6169  1 Ir 2.04, 1 Rh 2.05
O 0.1986 0.1986 0.7309  1 Ir 1.97, 1 Rh 2.01
O 0.1986 0.7309 0.1986  1 Ir 1.97, 1 Rh 2.01
O 0.2691 0.8014 0.8014  1 Ir 1.97, 1 Rh 2.01
O 0.3831 0.3831 0.8666  1 Ir 2.04, 1 Rh 2.05
O 0.3831 0.8666 0.3831  1 Ir 2.04, 1 Rh 2.05
O 0.6169 0.1334 0.6169  1 Ir 2.04, 1 Rh 2.05
O 0.6169 0.6169 0.1334  1 Ir 2.04, 1 Rh 2.05
O 0.7309 0.1986 0.1986  1 Ir 1.97, 1 Rh 2.01
O 0.8014 0.2691 0.8014  1 Ir 1.97, 1 Rh 2.01
O 0.8014 0.8014 0.2691  1 Ir 1.97, 1 Rh 2.01
O 0.8666 0.3831 0.3831  1 Ir 2.04, 1 Rh 2.05

6.
Here is a geometry-optimized Cu2AgPdCl6 structure from Alexandria. Energies are from PBE.

DOS(E_F) (states/eV/cell): 6.300
E (eV/atom): -3.180
E_form (uncorrected) (eV per formula unit): -4.5

a b c (Å): 5.9918 6.9261 7.3295
angles (deg): 80.68 67.13 68.68
Last column: nearest neighbours and their distance in Å.
Atoms (fractional coordinates):
Cu 0.1659 0.2634 0.2691  3 Cl 2.18-2.28
Cu 0.8341 0.7366 0.7309  3 Cl 2.18-2.28
Ag 0.0000 0.0000 0.0000  2 Cl 2.43
Pd 0.5000 0.5000 0.5000  4 Cl 2.34-2.35
Cl 0.1278 0.4285 0.7097  1 Cu 2.20, 1 Pd 2.34
Cl 0.2280 0.9412 0.2264  1 Cu 2.18, 1 Ag 2.43
Cl 0.4640 0.7027 0.7437  1 Cu 2.28, 1 Pd 2.35
Cl 0.5360 0.2973 0.2563  1 Cu 2.28, 1 Pd 2.35
Cl 0.7720 0.0588 0.7736  1 Cu 2.18, 1 Ag 2.43
Cl 0.8722 0.5715 0.2903  1 Cu 2.20, 1 Pd 2.34

7.
Here is a geometry-optimized NbCuNi structure from Alexandria. Energies are from PBE.

DOS(E_F) (states/eV/cell): 4.068
E (eV/atom): -6.738

a b c (Å): 4.6624 4.6624 5.5111
angles (deg): 107.65 107.65 46.44
Last column: nearest neighbours and their distance in Å.
Atoms (fractional coordinates):
Nb 0.0064 0.0064 0.2586  5 Ni 2.61-2.70, 5 Cu 2.67-2.73, 2 Nb 2.70-2.82
Nb 0.9936 0.9936 0.7414  5 Ni 2.61-2.70, 5 Cu 2.67-2.73, 2 Nb 2.70-2.82
Cu 0.3243 0.3243 0.9142  3 Cu 2.59-2.84, 4 Ni 2.61-2.77, 5 Nb 2.67-2.73
Cu 0.6757 0.6757 0.0858  3 Cu 2.59-2.84, 4 Ni 2.61-2.77, 5 Nb 2.67-2.73
Ni 0.3293 0.3293 0.4139  4 Cu 2.61-2.77, 5 Nb 2.61-2.70, 3 Ni 2.64-2.76
Ni 0.6707 0.6707 0.5861  4 Cu 2.61-2.77, 5 Nb 2.61-2.70, 3 Ni 2.64-2.76

8.
Here is a geometry-optimized LiCaGaSn structure from Alexandria. Energies are from PBE.

DOS(E_F) (states/eV/cell): 0.852
E (eV/atom): -3.074

a b c (Å): 4.5430 4.5430 5.2622
angles (deg): 90.00 90.00 120.00
Last column: nearest neighbours and their distance in Å.
Atoms (fractional coordinates):
Li 0.0000 0.0000 0.0000  2 Ga 2.49-2.78
Ca 0.6667 0.3333 0.7210  3 Ga 2.93, 3 Li 3.01
Ga 0.0000 0.0000 0.4724  2 Li 2.49-2.78
Sn 0.3333 0.6667 0.2333  3 Li 2.90, 3 Ga 2.91

9.
Here is a geometry-optimized CdSnBr structure from Alexandria. Energies are from PBE.

DOS(E_F) (states/eV/cell): 1.924
E (eV/atom): -2.431
E_form (uncorrected) (eV per formula unit): -0.7

a b c (Å): 6.2276 3.6947 8.0087
angles (deg): 90.00 112.36 90.00
Last column: nearest neighbours and their distance in Å.
Atoms (fractional coordinates):
Cd 0.0830 0.2500 0.2823  3 Br 2.90-2.94, 3 Sn 2.97-3.17
Cd 0.9170 0.7500 0.7177  3 Br 2.90-2.94, 3 Sn 2.97-3.17
Sn 0.2913 0.2500 0.0042  3 Cd 2.97-3.17, 2 Sn 3.21
Sn 0.7087 0.7500 0.9958  3 Cd 2.97-3.17, 2 Sn 3.21
Br 0.2915 0.7500 0.5796  3 Cd 2.90-2.94
Br 0.7085 0.2500 0.4204  3 Cd 2.90-2.94

10.
Here is a geometry-optimized TaCoTe2 structure from Alexandria. Energies are from PBE.

DOS(E_F) (states/eV/cell): 3.656
E (eV/atom): -5.991
E_form (uncorrected) (eV per formula unit): 1.3

a b c (Å): 8.9669 8.9669 8.9669
angles (deg): 22.72 22.72 22.72
Last column: nearest neighbours and their distance in Å.
Atoms (fractional coordinates):
Ta 0.0000 0.0000 0.0000  6 Te 2.79
Co 0.5000 0.5000 0.5000  2 Te 2.46
Te 0.4062 0.4062 0.4062  1 Co 2.46
Te 0.5938 0.5938 0.5938  1 Co 2.46

11.
Here is a geometry-optimized CuPdWS2 structure from Alexandria. Energies are from PBE.

DOS(E_F) (states/eV/cell): 4.568
E (eV/atom): -4.582
E_form (uncorrected) (eV per formula unit): 7.6

a b c (Å): 4.6130 4.6130 4.9803
angles (deg): 90.00 90.00 90.00
Last column: nearest neighbours and their distance in Å.
Atoms (fractional coordinates):
Cu 0.0000 0.0000 0.0000  4 W 3.26, 8 S 3.39
Pd 0.5000 0.5000 0.5000  4 S 2.31, 2 W 2.49
W 0.5000 0.5000 0.0000  2 Pd 2.49
S 0.0000 0.5000 0.5000  2 Pd 2.31
S 0.5000 0.0000 0.5000  2 Pd 2.31